## PuU2Ru2 (PBE-GGA)

Data for a relaxed PuU2Ru2 crystal. Values from VASP.

```
&SYSTEM
  ibrav = 0, nat = 10, ntyp = 3
/
ATOMIC_SPECIES
Pu 244.00 Pu.upf
U 238.03 U.upf
Ru 101.07 Ru.upf
ATOMIC_POSITIONS crystal
Pu 0.5431 0.1916 0.7222
Pu 0.4569 0.8084 0.2778
U 0.1145 0.2237 0.5472
U 0.6762 0.7832 0.8645
U 0.8855 0.7763 0.4528
U 0.3238 0.2168 0.1355
Ru 0.6885 0.2834 0.3397
Ru 0.8766 0.2898 0.9570
Ru 0.3115 0.7166 0.6603
Ru 0.1234 0.7102 0.0430
CELL_PARAMETERS angstrom
-4.3767 -0.4230 1.2759
-1.7888 -5.2097 0.3514
-0.1376 1.7388 8.3192
```

* formation energy from the elements: -0.115 eV per atom
* calculated density: 16.902 Mg/m³
* magnetic moment: 5.60 μB per cell
* Fermi-level density of states: 20.10 states/eV per cell
* calculated volume: 90.6 Å³/f.u.

=====

## Pu2URu3 (PBE-GGA)

Data for a relaxed Pu2URu3 crystal. Values from VASP.

```
&SYSTEM
  ibrav = 0, nat = 6, ntyp = 3
/
ATOMIC_SPECIES
Pu 244.00 Pu.upf
U 238.03 U.upf
Ru 101.07 Ru.upf
ATOMIC_POSITIONS crystal
Pu 0.8289 0.6771 0.3531
Pu 0.1711 0.3229 0.6469
U 0.5000 0.0000 0.0000
Ru 0.5000 0.5000 0.0000
Ru 0.8657 0.1375 0.2736
Ru 0.1343 0.8625 0.7264
CELL_PARAMETERS angstrom
3.1615 -0.8574 0.6206
-1.7012 5.2649 -1.9665
1.6919 -0.7267 8.1550
```

* formation energy from the elements: -0.185 eV per atom
* calculated density: 14.556 Mg/m³
* offset from the most stable computed form: 0 meV/atom
* magnetic moment: 10.31 μB per cell
* Fermi-level density of states: 17.31 states/eV per cell
* calculated volume: 117.4 Å³/f.u.

=====

## PuURu (PBE-GGA)

Data for a relaxed PuURu crystal. Values from VASP.

```
&SYSTEM
  ibrav = 0, nat = 3, ntyp = 3
/
ATOMIC_SPECIES
Ru 101.07 Ru.upf
U 238.03 U.upf
Pu 244.00 Pu.upf
ATOMIC_POSITIONS crystal
Ru 0.6549 0.6549 0.3099
U 0.0071 0.0071 0.0142
Pu 0.3379 0.3379 0.6759
CELL_PARAMETERS angstrom
-1.3214 -1.2887 -2.8710
-2.8157 -0.9063 1.7028
0.0205 5.5100 -0.4540
```

* formation energy from the elements: -0.146 eV per atom
* calculated density: 16.710 Mg/m³
* offset from the most stable computed form: 0 meV/atom
* magnetic moment: 5.90 μB per cell
* Fermi-level density of states: 5.78 states/eV per cell
* calculated volume: 57.9 Å³/f.u.

=====

## PuU4Ru3 (PBE-GGA)

Data for a relaxed PuU4Ru3 crystal. Values from VASP.

```
&SYSTEM
  ibrav = 0, nat = 8, ntyp = 3
/
ATOMIC_SPECIES
Ru 101.07 Ru.upf
U 238.03 U.upf
Pu 244.00 Pu.upf
ATOMIC_POSITIONS crystal
Ru 0.6118 0.1955 0.6090
Ru 0.3882 0.8045 0.3910
Ru 0.5000 0.5000 0.0000
U 0.8278 0.6022 0.7955
U 0.1722 0.3978 0.2045
U 0.1250 0.6944 0.6110
U 0.8750 0.3056 0.3890
Pu 0.0000 0.0000 0.0000
CELL_PARAMETERS angstrom
-3.9675 1.9806 -0.6400
-0.4556 0.5411 4.4957
7.6947 5.0898 2.4713
```

* formation energy from the elements: 0.078 eV per atom
* calculated density: 15.524 Mg/m³
* offset from the most stable computed form: 0 meV/atom
* magnetic moment: 2.51 μB per cell
* Fermi-level density of states: 17.43 states/eV per cell
* calculated volume: 160.4 Å³/f.u.

=====

Among the records above, which one has the lowest magnetic moment? PuU4Ru3

=====

Number 4 is which compound? PuU4Ru3